Entry 1:
Computed, not measured: crystalline PmSmHg2 at its relaxed geometry at the GGA-PBE level of DFT.

For the calculated density, the calculation gives 9.60 g/cm3. Its magnetic moment is 0.00 μB per cell. The formation energy is -325 meV/atom. The calculation puts the electronic total energy at -2.84 eV per atom. The value obtained for the polymorph energy (0 for the lowest one) is 14.5 kJ per mole of atoms. Its density of states at the Fermi level is 15.60 states/eV/cell.

The structure belongs to space group R-3m (No. 166, hexagonal axes); the cell edges are 3.8601, 3.8601 and 27.9967 Å and the angles 90.00°, 90.00° and 120.00°. The asymmetric unit holds Pm at (0.0000, 0.0000, 0.0000), Sm at (0.0000, 0.0000, 0.5000) and Hg at (0.0000, 0.0000, 0.2495).



Entry 2:
Computed, not measured: crystalline Pm2Sm2Hg at its relaxed geometry at the GGA-PBE level of DFT.

For the calculated density, the calculation gives 8.34 g/cm3. Its magnetic moment is 0.00 μB per cell. The formation energy is -179 meV/atom. The calculation puts the electronic total energy at -4.03 eV per atom. The value obtained for the polymorph energy (0 for the lowest one) is 0.0 kJ per mole of atoms. Its density of states at the Fermi level is 13.66 states/eV/cell.

The structure belongs to space group I4/mmm (No. 139); the cell edges are 3.6880, 3.6880 and 23.1732 Å and the angles 90.00°, 90.00° and 90.00°. The asymmetric unit holds Pm at (0.0000, 0.0000, 0.1951), Sm at (0.0000, 0.0000, 0.4138) and Hg at (0.0000, 0.0000, 0.0000).



Entry 3:
Computed, not measured: crystalline Pm6SmHg at its relaxed geometry at the GGA-PBE level of DFT.

For the calculated density, the calculation gives 7.93 g/cm3. Its magnetic moment is 0.00 μB per cell. The formation energy is -63 meV/atom. The calculation puts the electronic total energy at -4.25 eV per atom. Its density of states at the Fermi level is 9.81 states/eV/cell.

The structure belongs to space group P4/mmm (No. 123); the cell edges are 4.9872, 4.9872 and 10.2848 Å and the angles 90.00°, 90.00° and 90.00°. The asymmetric unit holds Pm at (0.0000, 0.0000, 0.0000), Pm at (0.0000, 0.0000, 0.5000), Pm at (0.0000, 0.5000, 0.2424), Sm at (0.5000, 0.5000, 0.5000) and Hg at (0.5000, 0.5000, 0.0000).



Entry 4:
Computed, not measured: crystalline Pm4Sm5Hg at its relaxed geometry at the GGA-PBE level of DFT.

For the calculated density, the calculation gives 7.76 g/cm3. Its magnetic moment is 0.00 μB per cell. The formation energy is -83 meV/atom. The calculation puts the electronic total energy at -4.37 eV per atom. Its density of states at the Fermi level is 12.83 states/eV/cell.

The structure belongs to space group P4/mmm (No. 123); the cell edges are 3.6628, 3.6628 and 24.4425 Å and the angles 90.00°, 90.00° and 90.00°. The asymmetric unit holds Pm at (0.0000, 0.0000, 0.1045), Pm at (0.0000, 0.0000, 0.3136), Sm at (0.5000, 0.5000, 0.0000), Sm at (0.5000, 0.5000, 0.2094), Sm at (0.5000, 0.5000, 0.4175) and Hg at (0.0000, 0.0000, 0.5000).